1.
VASP calculation (GGA-PBE) on a relaxed structure of FeSnHg2.

Its space group is F-43m, No. 216. The total magnetization comes out at 2.76 μB per cell. Its energy is -2.73 eV/atom.

Cell lengths 4.9694, 4.9694, 4.9694 Å; angles 60.00, 60.00, 60.00 degrees
Last column: nearest neighbours and their distance in Å.
Element x y z (fractional)
Fe 0.2500 0.2500 0.2500  4 Sn 3.04, 4 Hg 3.04
Sn 0.5000 0.5000 0.5000  4 Fe 3.04, 4 Hg 3.04
Hg 0.0000 0.0000 0.0000  4 Fe 3.04, 4 Hg 3.04
Hg 0.7500 0.7500 0.7500  4 Sn 3.04, 4 Hg 3.04

2.
VASP calculation (GGA-PBE) on a relaxed structure of FeCuMoAs.

Its space group is F-43m, No. 216. The total magnetization comes out at 1.92 μB per cell. Its energy is -6.64 eV/atom.

Cell lengths 4.2594, 4.2594, 4.2594 Å; angles 60.00, 60.00, 60.00 degrees
Last column: nearest neighbours and their distance in Å.
Element x y z (fractional)
As 0.0000 0.0000 0.0000  4 Cu 2.61, 4 Mo 2.61
Cu 0.7500 0.7500 0.7500  4 As 2.61, 4 Fe 2.61
Fe 0.5000 0.5000 0.5000  4 Mo 2.61, 4 Cu 2.61
Mo 0.2500 0.2500 0.2500  4 Fe 2.61, 4 As 2.61

3.
VASP calculation (GGA-PBE) on a relaxed structure of TbTlZnTe3.

Its space group is C2/m, No. 12. The total magnetization comes out at 0.02 μB per cell. Its energy is -3.65 eV/atom.

Cell lengths 10.0457, 10.0457, 9.3194 Å; angles 102.35, 102.35, 25.48 degrees
Last column: nearest neighbours and their distance in Å.
Element x y z (fractional)
Te 0.6688 0.6688 0.8507  3 Tb 3.05, 2 Tl 3.39
Te 0.3276 0.3276 0.6919  1 Zn 2.66
Te 0.3312 0.3312 0.1493  3 Tb 3.05, 2 Tl 3.39
Te 0.0000 0.0000 0.0000  4 Zn 3.02, 2 Tb 3.28
Te 0.5000 0.5000 0.5000  2 Zn 2.79
Te 0.6724 0.6724 0.3081  1 Zn 2.66
Zn 0.5335 0.5335 0.2239  2 Te 2.66-2.79
Zn 0.4665 0.4665 0.7761  2 Te 2.66-2.79
Tl 0.8661 0.8661 0.4317  7 Te 3.39-3.72
Tl 0.1339 0.1339 0.5683  7 Te 3.39-3.72
Tb 0.8285 0.8285 0.9236  6 Te 3.05-3.28
Tb 0.1715 0.1715 0.0764  6 Te 3.05-3.28

4.
VASP calculation (GGA-PBE) on a relaxed structure of TmNiB4.

Its space group is Pbam, No. 55. The total magnetization comes out at 0.00 μB per cell. Its energy is -6.69 eV/atom.

Cell lengths 5.8630, 11.3816, 3.3844 Å; angles 90.00, 90.00, 90.00 degrees
Last column: nearest neighbours and their distance in Å.
Element x y z (fractional)
Tm 0.1273 0.1502 0.0000  14 B 2.56-2.71
Tm 0.3727 0.6502 0.0000  14 B 2.56-2.71
Tm 0.6273 0.3498 0.0000  14 B 2.56-2.71
Tm 0.8727 0.8498 0.0000  14 B 2.56-2.71
B 0.9784 0.3080 0.5000  3 B 1.73-1.80
B 0.6369 0.5329 0.5000  3 B 1.73-1.79
B 0.3866 0.0477 0.5000  3 B 1.72-1.73
B 0.6134 0.9523 0.5000  3 B 1.72-1.73
B 0.1369 0.9671 0.5000  3 B 1.73-1.79
B 0.8631 0.0329 0.5000  3 B 1.73-1.79
B 0.7147 0.6852 0.5000  3 B 1.79-1.80
B 0.2147 0.8148 0.5000  3 B 1.79-1.80
B 0.1134 0.5477 0.5000  3 B 1.72-1.73
B 0.4784 0.1920 0.5000  3 B 1.73-1.80
B 0.7853 0.1852 0.5000  3 B 1.79-1.80
B 0.2853 0.3148 0.5000  3 B 1.79-1.80
B 0.0216 0.6920 0.5000  3 B 1.73-1.80
B 0.5216 0.8080 0.5000  3 B 1.73-1.80
B 0.8866 0.4523 0.5000  3 B 1.72-1.73
B 0.3631 0.4671 0.5000  3 B 1.73-1.79
Ni 0.6340 0.0884 0.0000  10 B 2.21-2.30
Ni 0.3660 0.9116 0.0000  10 B 2.21-2.30
Ni 0.1340 0.4116 0.0000  10 B 2.21-2.30
Ni 0.8660 0.5884 0.0000  10 B 2.21-2.30

5.
VASP calculation (GGA-PBE) on a relaxed structure of PrNdBi.

Its space group is F-43m, No. 216. The total magnetization comes out at 0.02 μB per cell. Its energy is -4.99 eV/atom.

Cell lengths 5.3590, 5.3590, 5.3590 Å; angles 60.00, 60.00, 60.00 degrees
Last column: nearest neighbours and their distance in Å.
Element x y z (fractional)
Nd 0.2500 0.2500 0.2500  4 Bi 3.28
Pr 0.7500 0.7500 0.7500  4 Bi 3.28
Bi 0.0000 0.0000 0.0000  4 Pr 3.28, 4 Nd 3.28

6.
VASP calculation (GGA-PBE) on a relaxed structure of Pt.

Its space group is P2_1/m, No. 11. The total magnetization comes out at 0.11 μB per cell. The formation energy from the elements is 132 meV per atom.

Cell lengths 5.5794, 2.7675, 43.3617 Å; angles 90.00, 90.01, 90.00 degrees
Last column: nearest neighbours and their distance in Å.
Element x y z (fractional)
Pt 0.3750 0.0000 0.7530  12 Pt 2.77-2.86
Pt 0.1244 0.5000 0.6151  12 Pt 2.77-2.81
Pt 0.3750 0.0000 0.5690  12 Pt 2.77-2.80
Pt 0.3750 0.0000 0.6610  12 Pt 2.77-2.82
Pt 0.6250 0.5000 0.1591  6 Pt 2.68-2.77
Pt 0.1250 0.5000 0.3386  12 Pt 2.77-2.81
Pt 0.1143 0.5000 0.8000  10 Pt 2.67-2.91
Pt 0.1250 0.5000 0.4310  12 Pt 2.77-2.80
Pt 0.3750 0.0000 0.8409  6 Pt 2.68-2.77
Pt 0.3739 0.0000 0.2926  12 Pt 2.77-2.83
Pt 0.8750 0.0000 0.5690  12 Pt 2.77-2.80
Pt 0.8750 0.0000 0.6614  12 Pt 2.77-2.81
Pt 0.6250 0.5000 0.3390  12 Pt 2.77-2.82
Pt 0.6356 0.5000 0.8000  10 Pt 2.67-2.91
Pt 0.6255 0.5000 0.6151  12 Pt 2.77-2.81
Pt 0.8762 0.0000 0.2926  12 Pt 2.77-2.83
Pt 0.1248 0.5000 0.5230  12 Pt 2.77-2.80
Pt 0.6250 0.5000 0.2470  12 Pt 2.77-2.86
Pt 0.6261 0.5000 0.7074  12 Pt 2.77-2.83
Pt 0.8749 0.0000 0.7545  12 Pt 2.75-2.83
Pt 0.6250 0.5000 0.4310  12 Pt 2.77-2.80
Pt 0.1239 0.5000 0.7074  12 Pt 2.77-2.83
Pt 0.6252 0.5000 0.5230  12 Pt 2.77-2.80
Pt 0.3744 0.0000 0.3849  12 Pt 2.77-2.81
Pt 0.8752 0.0000 0.4770  12 Pt 2.77-2.80
Pt 0.3645 0.0000 0.2000  10 Pt 2.67-2.91
Pt 0.8756 0.0000 0.3849  12 Pt 2.77-2.81
Pt 0.8856 0.0000 0.2000  10 Pt 2.67-2.91
Pt 0.3748 0.0000 0.4770  12 Pt 2.77-2.80
Pt 0.1251 0.5000 0.2455  12 Pt 2.76-2.83

7.
VASP calculation (GGA-PBE) on a relaxed structure of Hf4Zr2Au3C3.

Its space group is C2/c, No. 15. The total magnetization comes out at 0.01 μB per cell. Its energy is -8.56 eV/atom.

Cell lengths 5.7193, 5.7193, 14.6036 Å; angles 101.37, 101.37, 59.99 degrees
Last column: nearest neighbours and their distance in Å.
Element x y z (fractional)
Hf 0.1988 0.0265 0.5871  3 C 2.27-2.28
Hf 0.8012 0.9735 0.4129  3 C 2.27-2.28
Hf 0.0265 0.1988 0.0871  3 C 2.27-2.28
Hf 0.8600 0.6953 0.5871  3 C 2.26-2.28
Hf 0.9735 0.8012 0.9129  3 C 2.27-2.28
Hf 0.1400 0.3047 0.4129  3 C 2.26-2.28
Hf 0.6953 0.8600 0.0871  3 C 2.26-2.28
Hf 0.3047 0.1400 0.9129  3 C 2.26-2.28
Au 0.7879 0.5838 0.2496  4 Hf 2.92-2.95, 2 Zr 3.03-3.06, 4 Au 3.13
Au 0.2121 0.4162 0.7504  4 Hf 2.92-2.95, 2 Zr 3.03-3.06, 4 Au 3.13
Au 0.4162 0.2121 0.2504  4 Hf 2.92-2.95, 2 Zr 3.03-3.06, 4 Au 3.13
Au 0.0442 0.9558 0.2500  4 Hf 2.94, 2 Zr 3.05, 4 Au 3.13
Au 0.9558 0.0442 0.7500  4 Hf 2.94, 2 Zr 3.05, 4 Au 3.13
Au 0.5838 0.7879 0.7496  4 Hf 2.92-2.95, 2 Zr 3.03-3.06, 4 Au 3.13
C 0.8356 0.3322 0.5000  4 Hf 2.26-2.28, 2 Zr 2.35
C 0.0000 0.5000 0.0000  4 Hf 2.27, 2 Zr 2.36
C 0.1644 0.6678 0.5000  4 Hf 2.26-2.28, 2 Zr 2.35
C 0.6678 0.1644 0.0000  4 Hf 2.26-2.28, 2 Zr 2.35
C 0.3322 0.8356 0.0000  4 Hf 2.26-2.28, 2 Zr 2.35
C 0.5000 0.0000 0.5000  4 Hf 2.27, 2 Zr 2.36
Zr 0.6317 0.4679 0.9033  3 C 2.35-2.36
Zr 0.3683 0.5321 0.0967  3 C 2.35-2.36
Zr 0.4679 0.6317 0.4033  3 C 2.35-2.36
Zr 0.5321 0.3683 0.5967  3 C 2.35-2.36

8.
VASP calculation (GGA-PBE) on a relaxed structure of CdBiAsO.

Its space group is Pmc2_1, No. 26. Its energy is -4.10 eV/atom.

Cell lengths 4.6453, 6.3522, 6.2149 Å; angles 90.00, 90.00, 90.00 degrees
Last column: nearest neighbours and their distance in Å.
Element x y z (fractional)
As 0.0000 0.3037 0.3896  2 Cd 2.64, 2 Bi 2.79-2.80
As 0.0000 0.6963 0.8896  2 Cd 2.64, 2 Bi 2.79-2.80
Bi 0.0000 0.2593 0.9431  2 O 2.39
Bi 0.0000 0.7407 0.4431  2 O 2.39
Cd 0.5000 0.1578 0.5257  2 O 2.29-2.30
Cd 0.5000 0.8422 0.0257  2 O 2.29-2.30
O 0.5000 0.8200 0.3955  2 Cd 2.29-2.30, 2 Bi 2.39
O 0.5000 0.1800 0.8955  2 Cd 2.29-2.30, 2 Bi 2.39

9.
VASP calculation (GGA-PBE) on a relaxed structure of NaSmSO.

Its space group is C2, No. 5. The total magnetization comes out at 0.00 μB per cell. Its energy is -6.03 eV/atom.

Cell lengths 5.6457, 5.6489, 10.6579 Å; angles 90.00, 105.74, 90.00 degrees
Last column: nearest neighbours and their distance in Å.
Element x y z (fractional)
O 0.7498 0.6075 0.0000  4 Sm 2.30-2.31
O 0.2500 0.6078 0.0000  4 Sm 2.30-2.31
O 0.2502 0.1075 0.0000  4 Sm 2.30-2.31
O 0.7500 0.1078 0.0000  4 Sm 2.30-2.31
Na 0.9521 0.1160 0.4073  5 S 2.80-2.97
Na 0.5476 0.1168 0.5926  5 S 2.80-2.97
Na 0.0479 0.6160 0.5927  5 S 2.80-2.97
Na 0.4524 0.6168 0.4074  5 S 2.80-2.97
Sm 0.0565 0.8578 0.1122  4 O 2.30-2.31
Sm 0.4434 0.8581 0.8879  4 O 2.30-2.31
Sm 0.5566 0.3581 0.1121  4 O 2.30-2.31
Sm 0.9435 0.3578 0.8878  4 O 2.30-2.31
S 0.0945 0.1179 0.6803  5 Na 2.80-2.97, 2 Sm 2.91-2.93
S 0.5946 0.6181 0.6804  5 Na 2.80-2.97, 2 Sm 2.91-2.93
S 0.4054 0.1181 0.3196  5 Na 2.80-2.97, 2 Sm 2.91-2.93
S 0.9055 0.6179 0.3197  5 Na 2.80-2.97, 2 Sm 2.91-2.93

10.
VASP calculation (GGA-PBE) on a relaxed structure of SiTe4Os.

Its space group is Cmc2_1, No. 36. The total magnetization comes out at 0.01 μB per cell. Its energy is -4.70 eV/atom.

Cell lengths 8.3487, 8.3487, 10.3125 Å; angles 90.00, 90.00, 152.60 degrees
Last column: nearest neighbours and their distance in Å.
Element x y z (fractional)
Te 0.7307 0.2693 0.2923  1 Si 2.64, 2 Os 2.72
Te 0.9612 0.0388 0.2837  2 Os 2.90, 1 Te 2.94
Te 0.3693 0.6307 0.4967  2 Si 2.67, 1 Os 2.89
Te 0.1217 0.8783 0.5303  2 Os 2.87, 1 Te 2.94, 2 Si 3.03
Te 0.2693 0.7307 0.7923  1 Si 2.64, 2 Os 2.72
Te 0.6307 0.3693 0.9967  2 Si 2.67, 1 Os 2.89
Te 0.8783 0.1217 0.0303  2 Os 2.87, 1 Te 2.94, 2 Si 3.03
Te 0.0388 0.9612 0.7837  2 Os 2.90, 1 Te 2.94
Si 0.7628 0.2372 0.5434  1 Os 2.45, 3 Te 2.64-2.67
Si 0.2372 0.7628 0.0434  1 Os 2.45, 3 Te 2.64-2.67
Os 0.3369 0.6631 0.2214  1 Si 2.45, 2 Te 2.72
Os 0.6631 0.3369 0.7214  1 Si 2.45, 2 Te 2.72

11.
VASP calculation (GGA-PBE) on a relaxed structure of LaThPt.

Its space group is F-43m, No. 216. The total magnetization comes out at 0.00 μB per cell. The formation energy from the elements is -563 meV per atom.

Cell lengths 5.0526, 5.0526, 5.0526 Å; angles 60.00, 60.00, 60.00 degrees
Last column: nearest neighbours and their distance in Å.
Element x y z (fractional)
Th 0.7500 0.7500 0.7500  4 Pt 3.09
Pt 0.0000 0.0000 0.0000  4 Th 3.09, 4 La 3.09
La 0.2500 0.2500 0.2500  4 Pt 3.09

12.
VASP calculation (GGA-PBE) on a relaxed structure of TbAsPtO.

Its space group is P4/nmm, No. 129. The total magnetization comes out at 0.01 μB per cell. Its energy is -6.87 eV/atom.

Cell lengths 4.1584, 4.1584, 7.8789 Å; angles 90.00, 90.00, 90.00 degrees
Last column: nearest neighbours and their distance in Å.
Element x y z (fractional)
O 0.2500 0.7500 0.0000  4 Tb 2.31
O 0.7500 0.2500 0.0000  4 Tb 2.31
Tb 0.7500 0.7500 0.8713  4 O 2.31
Tb 0.2500 0.2500 0.1287  4 O 2.31
As 0.2500 0.2500 0.6786  4 Pt 2.51
As 0.7500 0.7500 0.3214  4 Pt 2.51
Pt 0.2500 0.7500 0.5000  4 As 2.51
Pt 0.7500 0.2500 0.5000  4 As 2.51